Entry 1:
The following is a PBE calculation of crystalline Co2AgW at its relaxed geometry, from Alexandria.

a = 2.914 Å, b = 3.206 Å, c = 5.894 Å
α = 90.00°, β = 90.00°, γ = 90.00°
Positions (direct):
Co (0.000, 0.000, 0.218)
Co (0.000, 0.000, 0.782)
Ag (0.500, 0.500, 0.500)
W (0.500, 0.500, 0.000)

Summary:
electronic total energy	-7.234	eV per atom
formation energy from the elements	0.270	eV per atom
density of states at the Fermi level	0.751	states/eV per atom



Entry 2:
The following is a PBE calculation of crystalline CoAgW at its relaxed geometry, from Alexandria.

a = 4.110 Å, b = 4.110 Å, c = 4.110 Å
α = 60.00°, β = 60.00°, γ = 60.00°
Positions (direct):
Co (0.000, 0.000, 0.000)
Ag (0.750, 0.750, 0.750)
W (0.250, 0.250, 0.250)

Summary:
electronic total energy	-6.738	eV per atom
formation energy from the elements	0.899	eV per atom
density of states at the Fermi level	1.233	states/eV per atom



Entry 3:
The following is a PBE calculation of crystalline CoAgW2 at its relaxed geometry, from Alexandria.

a = 2.732 Å, b = 2.732 Å, c = 8.110 Å
α = 90.00°, β = 90.00°, γ = 90.00°
Positions (direct):
Co (0.000, 0.000, 0.000)
Ag (0.500, 0.500, 0.753)
W (0.000, 0.000, 0.478)
W (0.500, 0.500, 0.202)

Summary:
electronic total energy	-8.599	eV per atom
formation energy from the elements	0.367	eV per atom
density of states at the Fermi level	1.110	states/eV per atom



Entry 4:
The following is a PBE calculation of crystalline Co2AgW at its relaxed geometry, from Alexandria.

a = 2.732 Å, b = 4.406 Å, c = 4.726 Å
α = 90.00°, β = 90.00°, γ = 90.00°
Positions (direct):
Co (0.000, 0.000, 0.000)
Co (0.500, 0.000, 0.500)
Ag (0.000, 0.500, 0.500)
W (0.500, 0.500, 0.000)

Summary:
electronic total energy	-6.812	eV per atom
formation energy from the elements	0.692	eV per atom
density of states at the Fermi level	1.594	states/eV per atom



Entry 5:
The following is a PBE calculation of crystalline CoAg2W2 at its relaxed geometry, from Alexandria.

a = 7.577 Å, b = 7.577 Å, c = 7.577 Å
α = 152.73°, β = 152.73°, γ = 38.95°
Positions (direct):
Co (0.000, 0.000, 0.000)
Ag (0.407, 0.407, 0.000)
Ag (0.593, 0.593, 0.000)
W (0.250, 0.750, 0.500)
W (0.750, 0.250, 0.500)

Summary:
electronic total energy	-6.603	eV per atom
formation energy from the elements	1.140	eV per atom
density of states at the Fermi level	1.154	states/eV per atom



Entry 6:
The following is a PBE calculation of crystalline CoAgW2 at its relaxed geometry, from Alexandria.

a = 4.414 Å, b = 4.414 Å, c = 4.414 Å
α = 60.00°, β = 60.00°, γ = 60.00°
Positions (direct):
Co (0.000, 0.000, 0.000)
Ag (0.500, 0.500, 0.500)
W (0.250, 0.250, 0.250)
W (0.750, 0.750, 0.750)

Summary:
electronic total energy	-8.095	eV per atom
formation energy from the elements	0.871	eV per atom
density of states at the Fermi level	1.613	states/eV per atom



Entry 7:
The following is a PBE calculation of crystalline Co2AgW at its relaxed geometry, from Alexandria.

a = 9.004 Å, b = 9.004 Å, c = 9.004 Å
α = 17.36°, β = 17.36°, γ = 17.36°
Positions (direct):
Co (0.000, 0.000, 0.000)
Co (0.263, 0.263, 0.263)
Ag (0.753, 0.753, 0.753)
W (0.516, 0.516, 0.516)

Summary:
electronic total energy	-7.102	eV per atom
formation energy from the elements	0.402	eV per atom
density of states at the Fermi level	1.031	states/eV per atom



Entry 8:
The following is a PBE calculation of crystalline CoAgW2 at its relaxed geometry, from Alexandria.

a = 2.710 Å, b = 2.710 Å, c = 8.805 Å
α = 90.00°, β = 90.00°, γ = 107.79°
Positions (direct):
Co (0.000, 0.000, 0.000)
Ag (0.500, 0.500, 0.751)
W (0.000, 0.000, 0.475)
W (0.500, 0.500, 0.221)

Summary:
electronic total energy	-8.623	eV per atom
formation energy from the elements	0.343	eV per atom
density of states at the Fermi level	1.150	states/eV per atom



no.,spin magnetization (μB per cell)
1,0.00
2,1.13
3,0.51
4,2.70
5,2.03
6,1.78
7,2.97
8,1.36